No. 1
# PBE Cd2Pd2Au, relaxed
# Formation enthalpy at 0 K: 0.090 eV/atom
# Offset from the most stable computed form: 0.378 eV per atom
data_Cd2Pd2Au
_chemical_formula_sum 'Cd4 Pd4 Au2'
_symmetry_space_group_name_H-M 'I 4/m m m'
_symmetry_Int_Tables_number 139
_symmetry_space_group_name_Hall '-I 4 2'
_cell_length_a 3.971
_cell_length_b 3.971
_cell_length_c 12.736
_cell_angle_alpha 90.00
_cell_angle_beta 90.00
_cell_angle_gamma 90.00
loop_
_atom_site_label
_atom_site_type_symbol
_atom_site_fract_x
_atom_site_fract_y
_atom_site_fract_z
Cd1 Cd 0.000 0.500 0.250
Pd1 Pd 0.000 0.000 0.101
Au1 Au 0.000 0.000 0.500



No. 2
# PBE Pr4As2Se, relaxed
# Raw total energy: -161.96 eV/cell
data_Pr4As2Se
_chemical_formula_sum 'Pr16 As8 Se4'
_symmetry_space_group_name_H-M 'I 41/a m d'
_symmetry_Int_Tables_number 141
_cell_length_a 9.427
_cell_length_b 9.427
_cell_length_c 9.452
_cell_angle_alpha 90.00
_cell_angle_beta 90.00
_cell_angle_gamma 90.00
loop_
_symmetry_equiv_pos_as_xyz
'x,y,z'
'-x,-y,-z'
'-y+1/4,x+3/4,z+1/4'
'y+1/4,-x+3/4,-z+1/4'
'-x+1/2,-y,z+1/2'
'x+1/2,y,-z+1/2'
'y+1/4,-x+1/4,z+3/4'
'-y+1/4,x+1/4,-z+3/4'
'x,-y,-z'
'-x,y,z'
'-y+1/4,-x+1/4,-z+3/4'
'y+1/4,x+1/4,z+3/4'
'-x+1/2,y,-z+1/2'
'x+1/2,-y,z+1/2'
'y+1/4,x+3/4,-z+1/4'
'-y+1/4,-x+3/4,z+1/4'
'x+1/2,y+1/2,z+1/2'
'-x+1/2,-y+1/2,-z+1/2'
'-y+3/4,x+1/4,z+3/4'
'y+3/4,-x+1/4,-z+3/4'
'-x,-y+1/2,z'
'x,y+1/2,-z'
'y+3/4,-x+3/4,z+1/4'
'-y+3/4,x+3/4,-z+1/4'
'x+1/2,-y+1/2,-z+1/2'
'-x+1/2,y+1/2,z+1/2'
'-y+3/4,-x+3/4,-z+1/4'
'y+3/4,x+3/4,z+1/4'
'-x,y+1/2,-z'
'x,-y+1/2,z'
'y+3/4,x+1/4,-z+3/4'
'-y+3/4,-x+1/4,z+3/4'
loop_
_atom_site_label
_atom_site_type_symbol
_atom_site_fract_x
_atom_site_fract_y
_atom_site_fract_z
Pr1 Pr 0.000 0.057 0.200
As1 As 0.000 0.000 0.500
Se1 Se 0.000 0.250 0.875



No. 3
# PBE ZrSc3Al4, relaxed
# Formation enthalpy at 0 K: -0.434 eV/atom
data_ZrSc3Al4
_chemical_formula_sum 'Zr2 Sc6 Al8'
_symmetry_space_group_name_H-M 'P m m a'
_symmetry_Int_Tables_number 51
_cell_length_a 9.738
_cell_length_b 6.228
_cell_length_c 5.094
_cell_angle_alpha 90.00
_cell_angle_beta 90.00
_cell_angle_gamma 90.00
loop_
_symmetry_equiv_pos_as_xyz
'x,y,z'
'-x,-y,-z'
'-x+1/2,-y,z'
'x+1/2,y,-z'
'x+1/2,-y,-z'
'-x+1/2,y,z'
'-x,y,-z'
'x,-y,z'
loop_
_atom_site_label
_atom_site_type_symbol
_atom_site_fract_x
_atom_site_fract_y
_atom_site_fract_z
Zr1 Zr 0.000 0.000 0.000
Sc1 Sc 0.000 0.500 0.000
Sc2 Sc 0.250 0.000 0.379
Sc3 Sc 0.250 0.500 0.373
Al1 Al 0.000 0.249 0.500
Al2 Al 0.250 0.251 0.863



No. 4
# PBE RbCd6Pt6, relaxed
# Formation enthalpy at 0 K: -0.294 eV/atom
data_RbCd6Pt6
_chemical_formula_sum 'Rb2 Cd12 Pt12'
_symmetry_space_group_name_H-M 'I m m m'
_symmetry_Int_Tables_number 71
_symmetry_space_group_name_Hall '-I 2 2'
_cell_length_a 5.653
_cell_length_b 9.387
_cell_length_c 9.749
_cell_angle_alpha 90.00
_cell_angle_beta 90.00
_cell_angle_gamma 90.00
loop_
_atom_site_label
_atom_site_type_symbol
_atom_site_fract_x
_atom_site_fract_y
_atom_site_fract_z
Rb1 Rb 0.000 0.000 0.000
Cd1 Cd 0.000 0.000 0.345
Cd2 Cd 0.000 0.340 0.000
Cd3 Cd 0.000 0.500 0.316
Pt1 Pt 0.000 0.256 0.500
Pt2 Pt 0.250 0.250 0.250



No. 5
# PBE MgHgTe, relaxed
# Offset from the most stable computed form: 0.240 eV per atom
data_MgHgTe
_chemical_formula_sum 'Mg2 Hg2 Te2'
_symmetry_space_group_name_H-M 'I 4 m m'
_symmetry_Int_Tables_number 107
_symmetry_space_group_name_Hall 'I 4 -2'
_cell_length_a 3.499
_cell_length_b 3.499
_cell_length_c 13.164
_cell_angle_alpha 90.00
_cell_angle_beta 90.00
_cell_angle_gamma 90.00
loop_
_atom_site_label
_atom_site_type_symbol
_atom_site_fract_x
_atom_site_fract_y
_atom_site_fract_z
Mg1 Mg 0.000 0.000 0.000
Hg1 Hg 0.000 0.000 0.355
Te1 Te 0.000 0.000 0.635



No. 6
# PBE PuZn5Ga2, relaxed
# Formation enthalpy at 0 K: -0.133 eV/atom
data_PuZn5Ga2
_chemical_formula_sum 'Pu2 Zn10 Ga4'
_symmetry_space_group_name_H-M 'I m m m'
_symmetry_Int_Tables_number 71
_symmetry_space_group_name_Hall '-I 2 2'
_cell_length_a 4.013
_cell_length_b 7.200
_cell_length_c 9.825
_cell_angle_alpha 90.00
_cell_angle_beta 90.00
_cell_angle_gamma 90.00
loop_
_atom_site_label
_atom_site_type_symbol
_atom_site_fract_x
_atom_site_fract_y
_atom_site_fract_z
Pu1 Pu 0.000 0.000 0.000
Zn1 Zn 0.000 0.185 0.365
Zn2 Zn 0.000 0.500 0.000
Ga1 Ga 0.000 0.500 0.258



no.,total magnetization (μB/f.u.)
1,0.00
2,0.00
3,0.00
4,0.00
5,0.00
6,5.54